(1)
! MgB2Rh2 | Alexandria via LeMat-Bulk | PBE-GGA | optimized geometry; values from VASP
&SYSTEM
  ibrav = 0, nat = 10, ntyp = 3
/
ATOMIC_SPECIES
Mg 24.30 Mg.upf
B 10.81 B.upf
Rh 102.91 Rh.upf
CELL_PARAMETERS angstrom
3.001 0.000 0.000
0.000 3.001 0.000
0.000 0.000 13.026
ATOMIC_POSITIONS angstrom
Mg 0.000 0.000 0.000
Mg 1.500 1.500 6.513
B 0.000 1.500 3.256
B 0.000 1.500 9.769
B 1.500 0.000 3.256
B 1.500 0.000 9.769
Rh 0.000 0.000 4.795
Rh 0.000 0.000 8.231
Rh 1.500 1.500 1.718
Rh 1.500 1.500 11.308
! Crystal system   tetragonal
! Distance to the lowest polymorph of the same formula   28 meV per atom
! Formation energy from the elements   -0.32 eV per atom
! M_tot   0.0000 μB/atom
! Calculated total energy   -6.248 eV/atom
! N(E_F)   0.41 states/eV/f.u.

***

(2)
! MgBRh3 | Alexandria via LeMat-Bulk | PBE-GGA | optimized geometry; values from VASP
&SYSTEM
  ibrav = 0, nat = 10, ntyp = 3
/
ATOMIC_SPECIES
Mg 24.30 Mg.upf
B 10.81 B.upf
Rh 102.91 Rh.upf
CELL_PARAMETERS angstrom
3.621 2.091 2.981
-3.621 2.091 2.981
0.000 -4.181 2.981
ATOMIC_POSITIONS angstrom
Mg 0.000 0.000 0.000
Mg 0.000 0.000 4.472
B 0.000 0.000 2.236
B 0.000 0.000 6.707
Rh -2.595 -0.313 3.726
Rh -1.026 -2.403 5.217
Rh 1.568 -2.091 3.726
Rh -1.568 2.091 5.217
Rh 1.026 2.403 3.726
Rh 2.595 0.313 5.217
! Crystal system   trigonal
! Distance to the lowest polymorph of the same formula   410 meV per atom
! Formation energy from the elements   0.00 eV per atom
! M_tot   0.0000 μB/atom
! Calculated total energy   -6.065 eV/atom
! N(E_F)   4.16 states/eV/f.u.

***

(3)
! MgB3Rh | Alexandria via LeMat-Bulk | PBE-GGA | optimized geometry; values from VASP
&SYSTEM
  ibrav = 0, nat = 5, ntyp = 3
/
ATOMIC_SPECIES
Mg 24.30 Mg.upf
B 10.81 B.upf
Rh 102.91 Rh.upf
CELL_PARAMETERS angstrom
4.117 0.000 0.000
0.000 4.117 0.000
0.000 0.000 4.117
ATOMIC_POSITIONS angstrom
Mg 0.000 0.000 0.000
B 0.000 0.000 2.058
B 0.000 2.058 0.000
B 2.058 0.000 0.000
Rh 2.058 2.058 2.058
! Crystal system   cubic
! Distance to the lowest polymorph of the same formula   1484 meV per atom
! Formation energy from the elements   2.45 eV per atom
! M_tot   0.0000 μB/atom
! Calculated total energy   -3.347 eV/atom
! N(E_F)   2.57 states/eV/f.u.

***

(4)
! MgBRh3 | Alexandria via LeMat-Bulk | PBE-GGA | optimized geometry; values from VASP
&SYSTEM
  ibrav = 0, nat = 10, ntyp = 3
/
ATOMIC_SPECIES
Mg 24.30 Mg.upf
B 10.81 B.upf
Rh 102.91 Rh.upf
CELL_PARAMETERS angstrom
3.452 0.000 0.000
-1.726 2.989 0.000
0.000 0.000 15.115
ATOMIC_POSITIONS angstrom
Mg 0.000 0.000 0.000
Mg 0.000 0.000 7.558
B 0.000 1.993 3.779
B 1.726 0.996 11.337
Rh 0.000 0.000 3.779
Rh 0.000 0.000 11.337
Rh 0.000 1.993 1.760
Rh 0.000 1.993 5.797
Rh 1.726 0.996 9.318
Rh 1.726 0.996 13.355
! Crystal system   hexagonal
! Distance to the lowest polymorph of the same formula   527 meV per atom
! Formation energy from the elements   0.12 eV per atom
! M_tot   0.0000 μB/atom
! Calculated total energy   -5.947 eV/atom
! N(E_F)   4.73 states/eV/f.u.

***

(5)
! MgBRh3 | Alexandria via LeMat-Bulk | PBE-GGA | optimized geometry; values from VASP
&SYSTEM
  ibrav = 0, nat = 5, ntyp = 3
/
ATOMIC_SPECIES
Mg 24.30 Mg.upf
B 10.81 B.upf
Rh 102.91 Rh.upf
CELL_PARAMETERS angstrom
4.107 0.000 0.000
0.000 4.107 0.000
0.000 0.000 4.107
ATOMIC_POSITIONS angstrom
Mg 0.000 0.000 0.000
B 2.053 2.053 2.053
Rh 0.000 2.053 2.053
Rh 2.053 0.000 2.053
Rh 2.053 2.053 0.000
! Crystal system   cubic
! Distance to the lowest polymorph of the same formula   0 meV per atom
! Formation energy from the elements   -0.41 eV per atom
! M_tot   0.0000 μB/atom
! Calculated total energy   -6.475 eV/atom
! N(E_F)   3.75 states/eV/f.u.

***

(6)
! MgB4Rh4 | Alexandria via LeMat-Bulk | PBE-GGA | optimized geometry; values from VASP
&SYSTEM
  ibrav = 0, nat = 18, ntyp = 3
/
ATOMIC_SPECIES
Mg 24.30 Mg.upf
B 10.81 B.upf
Rh 102.91 Rh.upf
CELL_PARAMETERS angstrom
5.348 0.000 0.000
0.000 5.348 0.000
0.000 0.000 7.172
ATOMIC_POSITIONS angstrom
Mg 1.337 4.011 1.793
Mg 4.011 1.337 5.379
B 0.415 1.337 0.767
B 1.337 0.415 4.353
B 1.337 2.259 4.353
B 2.259 1.337 0.767
B 3.089 4.011 6.404
B 4.011 3.089 2.819
B 4.011 4.934 2.819
B 4.934 4.011 6.404
Rh 0.016 4.011 4.286
Rh 1.337 2.691 6.472
Rh 1.337 5.332 6.472
Rh 2.658 4.011 4.286
Rh 2.691 1.337 2.886
Rh 4.011 0.016 0.700
Rh 4.011 2.658 0.700
Rh 5.332 1.337 2.886
! Crystal system   tetragonal
! Formation energy from the elements   -0.38 eV per atom
! M_tot   0.0000 μB/atom
! Calculated total energy   -6.794 eV/atom
! N(E_F)   1.76 states/eV/f.u.

***

(7)
! MgBRh3 | Alexandria via LeMat-Bulk | PBE-GGA | optimized geometry; values from VASP
&SYSTEM
  ibrav = 0, nat = 5, ntyp = 3
/
ATOMIC_SPECIES
Mg 24.30 Mg.upf
B 10.81 B.upf
Rh 102.91 Rh.upf
CELL_PARAMETERS angstrom
4.443 0.000 0.000
0.000 4.443 0.000
0.000 0.000 4.443
ATOMIC_POSITIONS angstrom
Mg 0.000 0.000 0.000
B 2.221 2.221 2.221
Rh 0.000 0.000 2.221
Rh 0.000 2.221 0.000
Rh 2.221 0.000 0.000
! Crystal system   cubic
! Distance to the lowest polymorph of the same formula   2328 meV per atom
! Formation energy from the elements   1.92 eV per atom
! M_tot   0.0000 μB/atom
! Calculated total energy   -4.146 eV/atom
! N(E_F)   5.49 states/eV/f.u.

***

(8)
! Mg3B2Rh5 | Alexandria via LeMat-Bulk | PBE-GGA | optimized geometry; values from VASP
&SYSTEM
  ibrav = 0, nat = 20, ntyp = 3
/
ATOMIC_SPECIES
Mg 24.30 Mg.upf
B 10.81 B.upf
Rh 102.91 Rh.upf
CELL_PARAMETERS angstrom
9.515 0.000 0.000
0.000 9.515 0.000
0.000 0.000 2.946
ATOMIC_POSITIONS angstrom
Mg 0.000 0.000 0.000
Mg 1.684 3.074 0.000
Mg 3.074 7.831 0.000
Mg 4.758 4.758 0.000
Mg 6.441 1.684 0.000
Mg 7.831 6.441 0.000
B 1.199 5.957 0.000
B 3.558 1.199 0.000
B 5.957 8.316 0.000
B 8.316 3.558 0.000
Rh 0.000 4.758 1.473
Rh 0.674 7.419 1.473
Rh 2.096 0.674 1.473
Rh 2.662 5.431 1.473
Rh 4.084 2.662 1.473
Rh 4.758 0.000 1.473
Rh 5.431 6.853 1.473
Rh 6.853 4.084 1.473
Rh 7.419 8.841 1.473
Rh 8.841 2.096 1.473
! Crystal system   tetragonal
! Formation energy from the elements   -0.58 eV per atom
! M_tot   0.0000 μB/atom
! Calculated total energy   -6.067 eV/atom
! N(E_F)   3.72 states/eV/f.u.